(1)
The following is a DFT calculation (meta-GGA SCAN) of NaCr4O8 at its PBEsol-relaxed geometry.

Properties
E (eV/cell): -157.6
Magnetization (μB per cell): 9.0

Lattice parameters (Å, degrees): 6.942 6.942 6.942 92.53 92.53 155.76
Fractional positions:
Na: 0.000 0.000 0.000
Cr: 0.151 0.666 0.817
Cr: 0.334 0.151 0.485
Cr: 0.666 0.849 0.515
Cr: 0.849 0.334 0.183
O: 0.042 0.338 0.381
O: 0.303 0.349 0.652
O: 0.338 0.958 0.296
O: 0.349 0.697 0.046
O: 0.651 0.303 0.954
O: 0.662 0.042 0.704
O: 0.697 0.651 0.348
O: 0.958 0.662 0.619



(2)
The following is a DFT calculation (meta-GGA SCAN) of NaCr6O11 at its PBEsol-relaxed geometry.

Properties
E (eV/cell): -451.9
Magnetization (μB per cell): 30.0

Lattice parameters (Å, degrees): 5.685 5.685 12.682 90.00 90.00 120.00
Fractional positions:
Na: 0.333 0.667 0.250
Na: 0.667 0.333 0.750
Cr: 0.000 0.000 0.146
Cr: 0.000 0.000 0.354
Cr: 0.000 0.000 0.646
Cr: 0.000 0.000 0.854
Cr: 0.000 0.500 0.000
Cr: 0.000 0.500 0.500
Cr: 0.333 0.667 0.750
Cr: 0.500 0.000 0.000
Cr: 0.500 0.000 0.500
Cr: 0.500 0.500 0.000
Cr: 0.500 0.500 0.500
Cr: 0.667 0.333 0.250
O: 0.152 0.304 0.750
O: 0.152 0.848 0.750
O: 0.172 0.345 0.079
O: 0.172 0.345 0.421
O: 0.172 0.828 0.079
O: 0.172 0.828 0.421
O: 0.304 0.152 0.250
O: 0.333 0.667 0.587
O: 0.333 0.667 0.913
O: 0.345 0.172 0.579
O: 0.345 0.172 0.921
O: 0.655 0.828 0.079
O: 0.655 0.828 0.421
O: 0.667 0.333 0.087
O: 0.667 0.333 0.413
O: 0.696 0.848 0.750
O: 0.828 0.172 0.579
O: 0.828 0.172 0.921
O: 0.828 0.655 0.579
O: 0.828 0.655 0.921
O: 0.848 0.152 0.250
O: 0.848 0.696 0.250



(3)
The following is a DFT calculation (meta-GGA SCAN) of Na2CrO4 at its PBEsol-relaxed geometry.

Properties
E (eV/cell): -397.2
Magnetization (μB per cell): 0.0

Lattice parameters (Å, degrees): 9.184 9.184 9.184 107.60 107.60 107.60
Fractional positions:
Na: 0.119 0.844 0.754
Na: 0.156 0.246 0.881
Na: 0.180 0.458 0.635
Na: 0.246 0.881 0.156
Na: 0.365 0.820 0.542
Na: 0.458 0.635 0.180
Na: 0.542 0.365 0.820
Na: 0.635 0.180 0.458
Na: 0.754 0.119 0.844
Na: 0.820 0.542 0.365
Na: 0.844 0.754 0.119
Na: 0.881 0.156 0.246
Cr: 0.058 0.482 0.206
Cr: 0.206 0.058 0.482
Cr: 0.482 0.206 0.058
Cr: 0.518 0.794 0.942
Cr: 0.794 0.942 0.518
Cr: 0.942 0.518 0.794
O: 0.021 0.300 0.062
O: 0.062 0.021 0.300
O: 0.068 0.455 0.378
O: 0.102 0.472 0.856
O: 0.144 0.898 0.528
O: 0.237 0.638 0.251
O: 0.251 0.237 0.638
O: 0.300 0.062 0.021
O: 0.362 0.749 0.763
O: 0.378 0.068 0.455
O: 0.455 0.378 0.068
O: 0.472 0.856 0.102
O: 0.528 0.144 0.898
O: 0.545 0.622 0.932
O: 0.622 0.932 0.545
O: 0.638 0.251 0.237
O: 0.700 0.938 0.979
O: 0.749 0.763 0.362
O: 0.763 0.362 0.749
O: 0.856 0.102 0.472
O: 0.898 0.528 0.144
O: 0.932 0.545 0.622
O: 0.938 0.979 0.700
O: 0.979 0.700 0.938



(4)
The following is a DFT calculation (meta-GGA SCAN) of Na2CrO4 at its PBEsol-relaxed geometry.

Properties
E (eV/cell): -132.2
Magnetization (μB per cell): 0.0

Lattice parameters (Å, degrees): 5.557 5.752 7.770 80.79 73.35 66.24
Fractional positions:
Na: 0.201 0.273 0.129
Na: 0.213 0.232 0.577
Na: 0.787 0.768 0.423
Na: 0.799 0.727 0.871
Cr: 0.417 0.704 0.238
Cr: 0.583 0.296 0.762
O: 0.247 0.516 0.329
O: 0.252 0.452 0.806
O: 0.332 0.839 0.051
O: 0.336 0.930 0.375
O: 0.664 0.070 0.625
O: 0.668 0.161 0.949
O: 0.748 0.548 0.194
O: 0.753 0.484 0.671